The following is a GGA+U calculation of a relaxed CsFe2C2O7 crystal, from the Alexandria database.

Lattice parameters (Å, degrees): 5.1514 5.1514 29.4073 90.00 90.00 120.00
Closest atoms and distances in Å follow each position.
Space group R32 (No. 155, hexagonal axes)
Asymmetric unit:
Cs (0.0000, 0.0000, 0.0000) (multiplicity 3)  6 O 3.09
Fe (0.0000, 0.0000, 0.4382) (multiplicity 6)  4 O 1.82-2.01
C (0.0000, 0.0000, 0.2564) (multiplicity 6)  3 O 1.30
O (0.0000, 0.0000, 0.5000) (multiplicity 3)  2 Fe 1.82
O (0.0473, 0.2719, 0.2576) (multiplicity 18)  1 C 1.30

Output
The uncorrected energy comes out at -245.8 eV per cell. As for the magnetization: 9.00 μB/f.u. The density is 2.8 Mg/m³.